# 1
8
Lattice="4.124 0.000 0.000 0.000 7.186 0.138 0.000 -2.499 6.740" Properties=species:S:1:pos:R:3 comment="NdHoNp2As4 PBE relaxed" vol_a3_per_fu=201 rho_g_cm3=8.9 final_energy_ev_per_fu=-62.350 formation_enthalpy_0k_ev_per_fu=-8.5 pbc="T T T"
Nd 0.000 0.000 0.000
Ho 2.062 3.593 0.069
Np 2.062 -1.250 3.370
Np 0.000 2.343 3.439
As 2.062 1.209 1.781
As 2.062 3.478 5.097
As 0.000 -0.039 5.058
As 0.000 4.726 1.820



# 2
8
Lattice="4.140 0.000 0.000 0.000 7.182 0.135 0.000 -2.501 6.719" Properties=species:S:1:pos:R:3 comment="NdHo2NpAs4 PBE relaxed" vol_a3_per_fu=201 rho_g_cm3=8.3 final_energy_ev_per_fu=-55.837 formation_enthalpy_0k_ev_per_fu=-10.4 pbc="T T T"
Nd 2.070 3.591 0.067
Ho 2.070 -1.250 3.359
Ho 0.000 2.340 3.427
Np 0.000 0.000 0.000
As 2.070 1.131 1.732
As 2.070 3.550 5.121
As 0.000 -0.129 5.033
As 0.000 4.810 1.820